Record 1
Entry from the Alexandria database: an optimized crystal structure of In2AgCl6 (PBE).

Structure (POSCAR):
```
In2AgCl6
1.0
6.870 -6.167 0.000
6.870 6.167 0.000
-2.902 0.000 7.386
In Ag Cl
4 2 12
direct
0.106 0.316 0.269 In
0.316 0.106 0.769 In
0.684 0.894 0.231 In
0.894 0.684 0.731 In
0.420 0.580 0.750 Ag
0.580 0.420 0.250 Ag
0.126 0.148 0.959 Cl
0.133 0.537 0.754 Cl
0.148 0.126 0.459 Cl
0.311 0.493 0.365 Cl
0.463 0.867 0.746 Cl
0.493 0.311 0.865 Cl
0.507 0.689 0.135 Cl
0.537 0.133 0.254 Cl
0.689 0.507 0.635 Cl
0.852 0.874 0.541 Cl
0.867 0.463 0.246 Cl
0.874 0.852 0.041 Cl
```

Magnetization, μB/cell: 0.00
Crystal system: monoclinic
Uncorrected formation energy, eV per atom: -0.810
Fermi-level density of states, states/eV/f.u.: 2.62
Total energy, eV/atom: -2.97



Record 2
Entry from the Alexandria database: an optimized crystal structure of Na2Tl2CdHg2 (PBE).

Structure (POSCAR):
```
Na2Tl2CdHg2
1.0
5.113 -2.266 0.000
5.113 2.266 0.000
-1.061 0.000 8.087
Na Tl Cd Hg
2 2 1 2
direct
0.078 0.078 0.209 Na
0.922 0.922 0.791 Na
0.202 0.202 0.644 Tl
0.798 0.798 0.356 Tl
0.500 0.500 0.500 Cd
0.359 0.359 0.060 Hg
0.641 0.641 0.940 Hg
```

Magnetization, μB/cell: 0.00
Crystal system: monoclinic
Calculated formation energy, meV per atom: -128.3
Fermi-level density of states, states/eV/f.u.: 2.17
Total energy, eV/atom: -1.40



Record 3
Entry from the Alexandria database: an optimized crystal structure of Sc2TiB (PBE).

Structure (POSCAR):
```
Sc2TiB
1.0
1.552 0.896 9.552
-1.552 0.896 9.552
0.000 -1.793 9.552
Sc Ti B
2 1 1
direct
0.083 0.083 0.083 Sc
0.917 0.917 0.917 Sc
0.500 0.500 0.500 Ti
0.000 0.000 0.000 B
```

Magnetization, μB/cell: 0.00
Crystal system: trigonal
Calculated formation energy, meV per atom: 883.0
Fermi-level density of states, states/eV/f.u.: 5.99
Total energy, eV/atom: -5.93



Record 4
Entry from the Alexandria database: an optimized crystal structure of Ag3P (PBE).

Structure (POSCAR):
```
Ag3P
1.0
2.942 0.000 0.000
-1.471 2.548 0.000
0.000 0.000 9.242
Ag P
3 1
direct
0.000 0.000 0.000 Ag
0.333 0.667 0.259 Ag
0.333 0.667 0.741 Ag
0.000 0.000 0.500 P
```

Magnetization, μB/cell: 0.00
Crystal system: hexagonal
Calculated formation energy, meV per atom: 233.9
Fermi-level density of states, states/eV/f.u.: 1.21
Total energy, eV/atom: -3.26



Record 5
Entry from the Alexandria database: an optimized crystal structure of Na2AgHgF8 (PBE).

Structure (POSCAR):
```
Na2AgHgF8
1.0
4.080 0.000 0.000
0.747 5.426 0.000
0.291 1.102 8.018
Na Ag Hg F
2 1 1 8
direct
0.005 0.002 0.249 Na
0.995 0.998 0.751 Na
0.500 0.500 0.000 Ag
0.500 0.500 0.500 Hg
0.064 0.741 0.534 F
0.101 0.738 0.028 F
0.426 0.284 0.210 F
0.442 0.238 0.711 F
0.558 0.762 0.289 F
0.574 0.716 0.790 F
0.899 0.262 0.972 F
0.936 0.259 0.466 F
```

Magnetization, μB/cell: 1.01
Crystal system: triclinic
Uncorrected formation energy, eV per atom: -1.694
Total energy, eV/atom: -3.42



Record 6
Entry from the Alexandria database: an optimized crystal structure of ScTlCr2 (PBE).

Structure (POSCAR):
```
ScTlCr2
1.0
3.349 0.000 0.000
0.000 3.349 0.000
0.000 0.000 6.590
Sc Tl Cr
1 1 2
direct
0.000 0.000 0.000 Sc
0.000 0.000 0.500 Tl
0.500 0.500 0.246 Cr
0.500 0.500 0.754 Cr
```

Magnetization, μB/cell: 5.74
Crystal system: tetragonal
Calculated formation energy, meV per atom: 487.6
Fermi-level density of states, states/eV/f.u.: 3.92
Total energy, eV/atom: -6.50



Record 7
Entry from the Alexandria database: an optimized crystal structure of MgTe2IN (PBE).

Structure (POSCAR):
```
MgTe2IN
1.0
5.589 0.000 0.000
0.000 5.589 0.000
0.000 0.000 5.801
Mg Te I N
1 2 1 1
direct
0.000 0.000 0.000 Mg
0.000 0.500 0.000 Te
0.500 0.000 0.000 Te
0.000 0.000 0.500 I
0.500 0.500 0.500 N
```

Magnetization, μB/cell: 0.90
Crystal system: tetragonal
Uncorrected formation energy, eV per atom: 1.065
Energy above the most stable polymorph in this dataset, eV per atom: 0.4965
Fermi-level density of states, states/eV/f.u.: 4.22
Total energy, eV/atom: -2.49



Record 8
Entry from the Alexandria database: an optimized crystal structure of PmZnCu2Ni (PBE).

Structure (POSCAR):
```
PmZnCu2Ni
1.0
-1.931 1.946 5.550
1.931 -1.946 5.550
1.931 1.946 -5.550
Pm Zn Cu Ni
1 1 2 1
direct
0.000 0.000 0.000 Pm
0.259 0.759 0.500 Zn
0.617 0.617 0.000 Cu
0.761 0.261 0.500 Cu
0.399 0.399 0.000 Ni
```

Magnetization, μB/cell: 0.00
Crystal system: orthorhombic
Calculated formation energy, meV per atom: -228.7
Fermi-level density of states, states/eV/f.u.: 1.71
Total energy, eV/atom: -4.23



Record 9
Entry from the Alexandria database: an optimized crystal structure of TaTiGaRe2 (PBE).

Structure (POSCAR):
```
TaTiGaRe2
1.0
4.531 0.000 0.000
0.000 4.531 0.000
0.000 0.000 4.639
Ta Ti Ga Re
1 1 1 2
direct
0.000 0.000 0.000 Ta
0.500 0.500 0.000 Ti
0.000 0.000 0.500 Ga
0.000 0.500 0.500 Re
0.500 0.000 0.500 Re
```

Magnetization, μB/cell: 0.00
Crystal system: tetragonal
Calculated formation energy, meV per atom: 1408.4
Fermi-level density of states, states/eV/f.u.: 7.36
Total energy, eV/atom: -8.13



Record 10
Entry from the Alexandria database: an optimized crystal structure of PrSm4Pu3Se8 (PBE).

Structure (POSCAR):
```
PrSm4Pu3Se8
1.0
4.165 2.405 6.844
-4.165 2.405 6.844
0.000 -4.809 6.844
Pr Sm Pu Se
1 4 3 8
direct
0.000 0.000 0.000 Pr
0.000 0.000 0.500 Sm
0.000 0.500 0.000 Sm
0.500 0.000 0.000 Sm
0.500 0.500 0.500 Sm
0.000 0.500 0.500 Pu
0.500 0.000 0.500 Pu
0.500 0.500 0.000 Pu
0.251 0.251 0.251 Se
0.252 0.252 0.746 Se
0.252 0.746 0.252 Se
0.254 0.748 0.748 Se
0.746 0.252 0.252 Se
0.748 0.254 0.748 Se
0.748 0.748 0.254 Se
0.749 0.749 0.749 Se
```

Magnetization, μB/cell: 17.53
Crystal system: trigonal
Uncorrected formation energy, eV per atom: -1.732
Fermi-level density of states, states/eV/f.u.: 28.55
Total energy, eV/atom: -7.64



Record 11
Entry from the Alexandria database: an optimized crystal structure of Li2AgMo (PBE).

Structure (POSCAR):
```
Li2AgMo
1.0
1.382 0.798 9.632
-1.382 0.798 9.632
0.000 -1.596 9.632
Li Ag Mo
2 1 1
direct
0.250 0.250 0.250 Li
0.750 0.750 0.750 Li
0.000 0.000 0.000 Ag
0.500 0.500 0.500 Mo
```

Magnetization, μB/cell: 0.31
Crystal system: trigonal
Energy above the most stable polymorph in this dataset, eV per atom: 0.0496
Calculated formation energy, meV per atom: 224.5
Fermi-level density of states, states/eV/f.u.: 3.49
Total energy, eV/atom: -4.15



Record 12
Entry from the Alexandria database: an optimized crystal structure of Tb2SmAg2 (PBE).

Structure (POSCAR):
```
Tb2SmAg2
1.0
5.271 0.000 0.000
0.000 4.924 0.000
-1.042 0.000 11.023
Tb Sm Ag
4 2 4
direct
0.159 0.250 0.112 Tb
0.250 0.750 0.507 Tb
0.750 0.250 0.493 Tb
0.841 0.750 0.888 Tb
0.302 0.250 0.756 Sm
0.698 0.750 0.244 Sm
0.224 0.250 0.367 Ag
0.357 0.750 0.994 Ag
0.643 0.250 0.006 Ag
0.776 0.750 0.633 Ag
```

Magnetization, μB/cell: 0.00
Crystal system: monoclinic
Energy above the most stable polymorph in this dataset, eV per atom: 0.1269
Calculated formation energy, meV per atom: -97.4
Fermi-level density of states, states/eV/f.u.: 5.56
Total energy, eV/atom: -4.03



Record 13
Entry from the Alexandria database: an optimized crystal structure of Te3PdSe (PBE).

Structure (POSCAR):
```
Te3PdSe
1.0
5.251 0.000 0.000
0.000 5.251 0.000
0.000 0.000 5.251
Te Pd Se
3 1 1
direct
0.000 0.000 0.500 Te
0.000 0.500 0.000 Te
0.500 0.000 0.000 Te
0.000 0.000 0.000 Pd
0.500 0.500 0.500 Se
```

Magnetization, μB/cell: 0.00
Crystal system: cubic
Uncorrected formation energy, eV per atom: 0.467
Energy above the most stable polymorph in this dataset, eV per atom: 0.0000
Fermi-level density of states, states/eV/f.u.: 6.74
Total energy, eV/atom: -3.15



Record 14
Entry from the Alexandria database: an optimized crystal structure of Dy2ScPb2 (PBE).

Structure (POSCAR):
```
Dy2ScPb2
1.0
2.486 -8.815 0.000
2.486 8.815 0.000
0.000 0.000 6.454
Dy Sc Pb
4 2 4
direct
0.000 0.000 0.000 Dy
0.000 0.000 0.500 Dy
0.195 0.805 0.751 Dy
0.805 0.195 0.251 Dy
0.399 0.601 0.750 Sc
0.601 0.399 0.250 Sc
0.185 0.815 0.251 Pb
0.422 0.578 0.250 Pb
0.578 0.422 0.750 Pb
0.815 0.185 0.751 Pb
```

Magnetization, μB/cell: 0.00
Crystal system: orthorhombic
Calculated formation energy, meV per atom: -439.7
Fermi-level density of states, states/eV/f.u.: 3.72
Total energy, eV/atom: -5.03



Record 15
Entry from the Alexandria database: an optimized crystal structure of DyPuAlPb (PBE).

Structure (POSCAR):
```
DyPuAlPb
1.0
0.000 3.738 3.738
3.738 0.000 3.738
3.738 3.738 0.000
Dy Pu Al Pb
1 1 1 1
direct
0.000 0.000 0.000 Dy
0.500 0.500 0.500 Pu
0.250 0.250 0.250 Al
0.750 0.750 0.750 Pb
```

Magnetization, μB/cell: 5.93
Crystal system: cubic
Calculated formation energy, meV per atom: -180.7
Fermi-level density of states, states/eV/f.u.: 10.00
Total energy, eV/atom: -6.78



Record 16
Entry from the Alexandria database: an optimized crystal structure of SrCaTcPd2 (PBE).

Structure (POSCAR):
```
SrCaTcPd2
1.0
5.220 0.000 0.000
0.000 5.220 0.000
0.000 0.000 5.068
Sr Ca Tc Pd
1 1 1 2
direct
0.000 0.000 0.000 Sr
0.500 0.500 0.500 Ca
0.000 0.000 0.500 Tc
0.000 0.500 0.000 Pd
0.500 0.000 0.000 Pd
```

Magnetization, μB/cell: 2.03
Crystal system: tetragonal
Calculated formation energy, meV per atom: 1075.2
Fermi-level density of states, states/eV/f.u.: 3.66
Total energy, eV/atom: -3.81